No. 1
This record from the Alexandria database describes an optimized crystal structure of TbHo3Au3. The functional is PBE.

Cell lengths 7.186, 7.186, 7.078 Å; angles 83.82, 83.82, 87.99 degrees
Fractional positions:
Tb 0.758 0.758 0.980
Tb 0.242 0.242 0.020
Ho 0.689 0.689 0.511
Ho 0.195 0.805 0.500
Ho 0.805 0.195 0.500
Ho 0.272 0.728 0.000
Ho 0.728 0.272 0.000
Ho 0.311 0.311 0.489
Au 0.957 0.957 0.213
Au 0.000 0.489 0.734
Au 0.489 0.000 0.734
Au 0.000 0.511 0.266
Au 0.511 0.000 0.266
Au 0.043 0.043 0.787


No. 2
This record from the Alexandria database describes an optimized crystal structure of Ta7Ag. The functional is PBE.

Cell lengths 5.931, 5.931, 5.931 Å; angles 60.00, 60.00, 60.00 degrees
Fractional positions:
Ta 0.500 0.000 0.000
Ta 0.000 0.000 0.500
Ta 0.500 0.000 0.500
Ta 0.000 0.500 0.000
Ta 0.500 0.500 0.000
Ta 0.000 0.500 0.500
Ta 0.500 0.500 0.500
Ag 0.000 0.000 0.000


No. 3
This record from the Alexandria database describes an optimized crystal structure of Pu2CrGe. The functional is PBE.

Cell lengths 3.782, 3.782, 5.626 Å; angles 90.00, 90.00, 90.00 degrees
Fractional positions:
Cr 0.500 0.500 0.000
Ge 0.500 0.500 0.500
Pu 0.000 0.000 0.743
Pu 0.000 0.000 0.257

Output
Distance to the lowest polymorph of the same formula, meV/atom: 69


No. 4
This record from the Alexandria database describes an optimized crystal structure of CaCe3Mn. The functional is PBE.

Cell lengths 5.230, 5.230, 5.230 Å; angles 90.00, 90.00, 90.00 degrees
Fractional positions:
Ca 0.500 0.500 0.500
Mn 0.000 0.000 0.000
Ce 0.000 0.500 0.000
Ce 0.000 0.000 0.500
Ce 0.500 0.000 0.000


Number 1: calculated density 11.44 Mg/m³, DFT formation energy -657 meV/atom. Number 2: calculated density 15.47 Mg/m³, DFT formation energy 267 meV/atom. Number 3: calculated density 12.64 Mg/m³, DFT formation energy -87 meV/atom. Number 4: calculated density 5.98 Mg/m³, DFT formation energy 163 meV/atom.